GGA-PBE Ba3PbS4, relaxed; distance to the lowest polymorph of the same formula = 0 meV/atom; uncorrected formation energy = -13.47 eV per formula unit
1.0
4.494 -0.057 0.075
0.057 7.453 2.181
-0.125 0.437 7.752
S Ba Pb
4 3 1
Cartesian
2.260 5.642 3.572
4.439 5.809 7.567
4.475 1.965 2.520
2.168 2.195 6.434
-0.125 0.440 7.752
2.240 7.643 6.095
-0.034 3.946 4.964
2.157 4.137 8.879

---

GGA-PBE Ba2PbS, relaxed; distance to the lowest polymorph of the same formula = 399 meV/atom; uncorrected formation energy = -3.03 eV per formula unit
1.0
0.000 4.162 4.162
4.162 0.000 4.162
4.162 4.162 0.000
Ba Pb S
2 1 1
Cartesian
2.081 2.081 2.081
6.243 6.243 6.243
4.162 4.162 4.162
0.000 0.000 0.000

---

GGA-PBE Ba4Pb2S, relaxed; uncorrected formation energy = -6.10 eV per formula unit
1.0
6.196 0.000 0.000
0.000 6.196 0.000
-3.098 -3.098 8.356
S Ba Pb
1 4 2
Cartesian
0.000 0.000 0.000
3.098 0.000 0.000
0.000 3.098 0.000
3.098 3.098 5.267
0.000 0.000 3.089
3.098 3.098 1.852
0.000 0.000 6.504

---

GGA-PBE BaPb5S6, relaxed; uncorrected formation energy = -9.50 eV per formula unit
1.0
-4.893 -5.462 -1.226
3.600 -6.531 -0.328
1.035 -4.007 6.190
S Pb Ba
6 5 1
Cartesian
-2.974 -6.000 1.184
-1.414 -9.498 3.013
-1.016 -8.919 -1.163
1.156 -6.502 1.623
2.715 -10.000 3.451
-0.278 -3.074 -0.392
-0.647 -5.996 -0.777
1.549 -3.509 1.921
3.086 -7.029 3.941
0.894 -9.513 1.209
-1.153 -6.487 3.427
0.000 0.000 0.000

---

GGA-PBE Ba3Pb5S12, relaxed; uncorrected formation energy = -14.21 eV per formula unit
1.0
-3.971 -6.129 12.766
13.822 -3.869 -3.206
-0.860 14.640 1.113
S Pb Ba
48 20 12
Cartesian
3.068 4.657 4.660
1.724 5.587 1.116
1.957 1.873 0.786
9.418 -1.020 5.157
5.977 5.776 1.701
-0.277 12.707 3.083
-1.140 -4.375 8.733
7.887 7.818 -0.795
9.268 -8.065 7.590
5.119 -1.009 0.368
11.206 5.481 2.572
7.267 -0.945 9.557
-2.887 3.195 12.039
9.099 -4.343 7.863
1.104 -3.176 11.469
-3.139 6.914 12.285
6.927 3.596 5.983
3.872 5.650 10.305
5.147 -4.005 7.410
-0.270 3.621 8.657
5.923 -0.016 6.014
1.525 8.794 6.781
-2.215 -0.840 8.102
9.261 1.020 2.016
4.919 7.231 7.086
10.131 9.016 1.940
3.014 -1.135 8.972
-0.427 5.662 5.517
3.254 2.687 7.843
7.466 -4.153 3.892
-0.108 8.985 2.811
8.897 4.275 -0.106
12.130 -2.273 -1.611
4.807 10.225 0.017
4.184 -5.583 10.657
4.072 -2.590 3.587
0.509 7.283 10.043
2.064 1.046 4.690
8.482 -2.642 0.631
3.844 8.647 3.263
10.440 2.586 5.212
11.878 1.447 -1.366
-1.449 2.056 5.462
8.274 6.908 4.421
0.094 0.367 10.779
0.716 -2.266 6.252
7.034 2.769 9.888
5.737 1.955 2.830
-2.003 7.729 10.148
4.472 1.443 0.672
9.548 1.822 -0.391
9.397 -3.556 5.452
1.859 -1.436 4.125
0.000 0.000 0.000
-2.416 4.255 6.940
4.519 3.199 10.002
6.911 -1.935 -1.603
6.481 5.385 -1.046
5.338 -1.525 7.988
10.994 -3.088 0.526
4.495 2.321 5.337
7.132 6.077 6.549
3.653 6.167 2.685
-0.557 2.820 11.065
-0.407 8.198 5.221
-1.986 -3.065 6.383
-0.430 7.320 0.557
4.926 -4.999 4.780
0.412 3.474 3.208
2.097 -4.218 8.511
6.894 8.859 2.162
0.651 0.692 7.595
2.056 5.698 7.612
2.207 11.076 1.768
10.953 6.828 -0.374
8.579 1.168 7.465
-1.962 -2.187 11.048
8.340 3.950 3.079
6.935 -1.057 3.062
6.784 -6.435 8.905

---

GGA-PBE Ba3PbS4, relaxed; distance to the lowest polymorph of the same formula = 75 meV/atom; uncorrected formation energy = -12.87 eV per formula unit
1.0
6.371 0.000 0.000
0.000 9.166 0.000
0.000 0.000 10.640
S Pb Ba
8 2 6
Cartesian
3.574 1.369 5.320
0.675 7.561 5.320
3.575 6.157 2.700
0.390 3.009 8.020
0.390 3.009 2.620
0.388 7.797 0.000
3.860 1.605 0.000
3.575 6.157 7.940
0.251 1.582 0.000
3.436 7.584 5.320
3.581 3.029 2.672
0.396 6.137 7.992
3.581 3.029 7.968
0.396 1.421 5.320
3.582 7.745 0.000
0.396 6.137 2.648

---

GGA-PBE Ba12Pb3S5, relaxed; uncorrected formation energy = -22.76 eV per formula unit
1.0
16.912 0.000 0.000
-5.637 15.944 0.000
-5.637 -7.972 13.808
Ba S Pb
48 20 12
Cartesian
3.508 5.837 1.168
9.219 -1.112 2.939
-1.515 -4.335 9.843
7.693 8.857 7.410
4.122 6.705 5.737
2.129 2.135 12.641
0.763 9.969 9.337
2.129 -2.079 12.543
7.153 12.307 3.965
-2.968 -6.219 13.302
-4.334 13.574 1.771
-1.515 5.601 12.037
8.605 4.424 5.133
7.153 2.371 1.771
-2.056 -0.885 6.398
1.515 1.267 8.072
3.582 1.997 4.471
2.056 5.975 9.337
0.149 5.301 5.639
-6.326 -0.056 11.375
2.670 10.643 5.639
11.423 -3.548 8.675
-4.874 7.087 7.410
2.968 -2.671 8.169
12.578 3.637 3.965
-5.786 11.520 5.133
5.488 2.671 8.169
6.940 -1.267 8.072
6.326 -2.135 12.641
9.971 -5.601 12.037
-0.763 1.112 2.939
4.874 -1.997 4.471
8.605 14.191 0.506
6.326 2.079 12.543
-1.303 9.239 5.737
-2.129 0.056 11.375
-5.488 6.219 13.302
7.767 7.916 2.433
-2.968 3.548 8.675
11.125 1.753 0.506
10.511 0.885 6.398
-3.582 9.085 10.869
-6.940 4.335 9.843
6.400 6.860 10.869
3.508 10.051 1.265
11.963 8.029 2.433
-0.689 10.107 1.168
-0.689 5.894 1.265
0.000 0.000 0.000
-2.819 -3.986 6.904
1.409 4.983 12.082
-4.228 8.969 5.178
1.409 -3.986 10.356
7.046 3.986 10.356
7.046 -4.983 12.082
-5.637 3.986 6.904
-1.409 0.997 8.630
2.819 3.986 6.904
4.228 2.990 1.726
5.637 7.972 0.000
7.046 6.976 5.178
9.865 -0.997 8.630
4.228 11.958 3.452
8.456 0.000 0.000
-1.409 3.986 3.452
5.637 -3.986 6.904
-2.819 7.972 0.000
-1.409 12.955 1.726
4.228 8.969 8.630
1.409 7.972 3.452
-4.228 -2.990 12.082
12.684 0.000 3.452
9.865 10.962 1.726
4.228 0.000 10.356
1.409 -0.997 5.178
7.046 0.997 5.178
-4.228 2.990 12.082
9.865 4.983 1.726
-1.409 6.976 8.630
-7.046 7.972 10.356

---

GGA-PBE Ba2PbS, relaxed; distance to the lowest polymorph of the same formula = 328 meV/atom; uncorrected formation energy = -3.32 eV per formula unit
1.0
-2.823 -1.576 2.836
0.583 -3.924 1.662
5.015 2.464 9.622
Ba Pb S
2 1 1
Cartesian
3.130 1.058 6.964
-0.355 -4.094 7.156
0.000 0.000 0.000
1.387 -1.518 7.060

---

GGA-PBE Ba2PbS, relaxed; distance to the lowest polymorph of the same formula = 225 meV/atom; uncorrected formation energy = -3.73 eV per formula unit
1.0
8.718 0.000 0.000
0.000 8.718 0.000
4.359 4.359 4.582
Pb Ba S
2 4 2
Cartesian
8.718 4.359 2.291
0.000 0.000 0.000
6.539 6.997 3.436
6.080 2.180 1.145
2.638 6.539 1.145
10.898 10.439 3.436
4.359 4.359 0.000
4.359 8.718 2.291

---

GGA-PBE Ba2PbS, relaxed; distance to the lowest polymorph of the same formula = 0 meV/atom; uncorrected formation energy = -4.63 eV per formula unit
1.0
3.877 0.000 0.000
0.000 3.877 0.000
0.000 0.000 9.039
Ba S Pb
2 1 1
Cartesian
0.000 0.000 7.147
0.000 0.000 1.892
1.938 1.938 0.000
1.938 1.938 4.520

---

GGA-PBE Ba3PbS, relaxed; distance to the lowest polymorph of the same formula = 0 meV/atom; uncorrected formation energy = -5.07 eV per formula unit
1.0
-2.599 -0.667 -5.436
4.856 -3.063 -1.946
-2.533 -5.189 1.847
Ba Pb S
3 1 1
Cartesian
-1.300 -0.333 -2.718
2.428 -1.531 -0.973
-1.266 -2.594 0.924
-0.138 -4.459 -2.767
0.000 0.000 0.000

---

GGA-PBE Ba2PbS2, relaxed; uncorrected formation energy = -6.72 eV per formula unit
1.0
-3.850 -2.984 -6.996
-3.716 -6.103 4.649
-3.313 2.571 0.727
Pb S Ba
2 4 4
Cartesian
-3.783 -4.544 -1.174
0.000 0.000 0.000
-5.687 -6.520 -2.864
-4.467 -6.185 1.515
-1.879 -2.568 0.517
-3.099 -2.902 -3.862
-4.689 -3.177 2.323
-7.319 -5.826 -0.294
-6.190 -3.340 -3.944
-3.561 -0.691 -1.327

---

GGA-PBE Ba4PbS5, relaxed; uncorrected formation energy = -17.71 eV per formula unit
1.0
-4.170 -0.079 4.883
3.328 -0.236 7.062
-1.993 7.077 2.636
S Pb Ba
5 1 4
Cartesian
1.207 1.245 5.304
-1.909 -0.036 2.235
0.216 4.087 8.727
-4.072 5.517 9.311
-3.081 2.674 5.888
-0.115 -0.002 0.135
-1.943 5.551 6.899
-0.915 1.210 7.707
-0.989 2.767 3.446
-1.868 3.994 11.160

---

GGA-PBE BaPb3S, relaxed; distance to the lowest polymorph of the same formula = 1361 meV/atom; uncorrected formation energy = 5.75 eV per formula unit
1.0
6.357 0.000 0.000
0.000 6.357 0.000
0.000 0.000 6.357
Ba Pb S
1 3 1
Cartesian
0.000 0.000 0.000
3.178 0.000 0.000
0.000 3.178 0.000
0.000 0.000 3.178
3.178 3.178 3.178

---

GGA-PBE Ba5PbS6, relaxed; uncorrected formation energy = -21.82 eV per formula unit
1.0
7.809 0.215 0.000
2.404 7.442 0.000
1.202 3.721 6.771
Ba S Pb
5 6 1
Cartesian
1.202 3.721 2.264
2.404 7.442 4.508
6.309 7.549 2.241
5.107 3.828 0.000
5.107 3.828 4.530
3.739 5.669 2.208
6.474 1.987 2.208
2.505 1.870 0.000
7.709 5.786 0.000
7.676 5.708 4.563
4.941 9.390 4.563
0.000 0.000 0.000

---

GGA-PBE BaPb2S, relaxed; uncorrected formation energy = -1.81 eV per formula unit
1.0
9.738 0.000 0.000
0.000 9.738 0.000
4.869 4.869 3.048
S Pb Ba
2 4 2
Cartesian
4.869 4.869 0.000
4.869 9.738 1.524
6.470 2.435 0.762
3.269 7.304 0.762
7.304 8.138 2.286
12.173 11.339 2.286
0.000 0.000 0.000
9.738 4.869 1.524

---

GGA-PBE Ba2SbPbS5, relaxed; uncorrected formation energy = -10.04 eV per formula unit
1.0
-3.343 1.605 -2.544
-0.777 -9.512 -1.007
-7.930 -0.427 10.154
S Ba Sb Pb
10 4 2 2
Cartesian
-6.845 -5.334 5.630
-8.059 -7.706 1.753
-4.514 -5.917 2.199
-6.432 -1.962 3.241
-4.165 -2.943 -0.359
-3.834 0.514 1.388
-9.360 -2.515 6.740
-1.812 -6.166 -1.510
-8.477 -8.861 5.549
-0.209 -0.424 0.008
-3.280 -2.479 2.746
-4.977 -5.894 -1.154
-10.051 -5.923 5.496
-5.997 -2.382 6.380
-5.635 -8.048 2.327
-9.299 -0.441 7.968
-1.363 -3.687 -0.536
-7.385 -4.469 2.910